PuTiV2: relaxed, PBE.

It has space group P4/mmm (No. 123), with a = 4.505 Å, b = 4.505 Å, c = 3.170 Å, α = 90.00°, β = 90.00° and γ = 90.00°. The distinct sites, in fractional coordinates, are Pu at (0.000, 0.000, 0.000), Ti at (0.500, 0.500, 0.000) and V at (0.000, 0.500, 0.500).

As for the volume: 16.084 Å³ per atom. The value obtained for the calculated total energy is -39.64 eV/cell. The theoretical density comes out at 10.16 Mg/m³. As for the crystal system: tetragonal. The calculation puts the energy above the most stable polymorph in this dataset at 0.050 eV per atom. As for the total magnetic moment: 4.0 μB/f.u.